Computed, not measured: crystalline CrBrO2 at its relaxed geometry at the PBE+U level of DFT.

Lattice parameters (Å, degrees): 8.234 8.234 8.234 90.00 90.00 90.00
Space group Fd-3m (No. 227, origin choice 2)
Symmetry-distinct sites (fractional):
1 Cr 0.125 0.125 0.125 [8 per cell]
2 Br 0.125 0.125 0.625 [8 per cell]
3 O 0.000 0.000 0.000 [16 per cell]

Calculated values
Density of states at the Fermi level in states/eV per cell: 98.9
Total DFT energy (no corrections) in eV per atom: -5.4970
Size of the total moment in μB/cell: 15.4